No. 1
Computed, not measured: SmScS2O after structural relaxation at the PBE level of DFT.

The structure in POSCAR format:
```
SmScS2O
1.0
-1.225 -3.405 1.257
2.119 0.406 3.166
-10.274 5.953 6.113
S Sc Sm O
4 2 2 2
Direct
0.500 0.000 0.911
0.500 0.000 0.290
0.000 0.500 0.089
0.000 0.500 0.710
0.500 0.000 0.115
0.000 0.500 0.885
0.500 0.000 0.593
0.000 0.500 0.407
0.500 0.500 0.500
0.000 0.000 0.500
```

Properties
Its raw total energy is -7.2754 eV per atom. As for the total magnetization: 0.00 μB/atom. Its space group is P4/nmm, No. 129.

No. 2
Computed, not measured: CaSmSiAg after structural relaxation at the PBE level of DFT.

The structure in POSCAR format:
```
CaSmSiAg
1.0
-2.518 -3.139 3.202
-3.092 -3.652 -1.883
1.357 -4.948 0.346
Ag Ca Si Sm
1 1 1 1
Direct
0.250 0.250 0.250
0.500 0.500 0.500
0.750 0.750 0.750
0.000 0.000 0.000
```

Properties
Its raw total energy is -4.1727 eV per atom. As for the total magnetization: 0.00 μB/atom. Its space group is F-43m, No. 216.

No. 3
Computed, not measured: HoZr2Sc3N6 after structural relaxation at the PBE level of DFT.

The structure in POSCAR format:
```
HoZr2Sc3N6
1.0
-2.516 0.712 1.948
-3.405 -4.913 -2.602
4.603 -3.433 4.472
Sc N Zr Ho
3 6 2 1
Direct
0.833 0.167 0.666
0.500 0.500 0.000
0.167 0.833 0.334
0.667 0.584 0.334
0.333 0.416 0.666
0.002 0.262 0.003
0.671 0.088 0.342
0.998 0.738 0.997
0.329 0.912 0.658
0.833 0.665 0.666
0.167 0.335 0.334
0.500 0.000 0.000
```

Properties
Its raw total energy is -9.3784 eV per atom. As for the total magnetization: 0.00 μB/atom. Its space group is C2/m, No. 12.

Q: The lowest raw total energy belongs to which entry?
A: HoZr2Sc3N6